1.
# Y2GaHg2 (PBE, relaxed)
data_Y2GaHg2
_space_group_name_H-M_alt 'C 1 2/m 1'
_space_group_IT_number 12
_space_group_name_Hall '-C 2y'
_cell_length_a 11.1737
_cell_length_b 4.3867
_cell_length_c 11.0863
_cell_angle_alpha 90.00
_cell_angle_beta 115.73
_cell_angle_gamma 90.00
loop_
_atom_site_label
_atom_site_fract_x
_atom_site_fract_y
_atom_site_fract_z
Y1 0.0035 0.0000 0.3316
Y2 0.1845 0.0000 0.1073
Ga1 0.2122 0.5000 0.3188
Hg1 0.0416 0.5000 0.8874
Hg2 0.1507 0.5000 0.5541
# Final energy in Ry/atom: -0.279
# Size of the total moment in μB per cell: 0.0
# DFT formation energy in eV/atom: -0.4893
# Energy above the lowest structure with this stoichiometry in meV/atom: 0



2.
# VSiMo (PBE, relaxed)
data_VSiMo
_space_group_name_H-M_alt 'P m m 2'
_space_group_IT_number 25
_space_group_name_Hall 'P 2 -2'
_cell_length_a 3.1161
_cell_length_b 4.0570
_cell_length_c 6.7272
_cell_angle_alpha 90.00
_cell_angle_beta 90.00
_cell_angle_gamma 90.00
loop_
_atom_site_label
_atom_site_fract_x
_atom_site_fract_y
_atom_site_fract_z
V1 0.0000 0.0000 0.0000
V2 0.0000 0.5000 0.3653
Si1 0.0000 0.0000 0.6319
Si2 0.5000 0.5000 0.0703
Mo1 0.5000 0.0000 0.3326
Mo2 0.5000 0.5000 0.6987
# Final energy in Ry/atom: -0.652
# Size of the total moment in μB per cell: 0.4
# Energy relative to the elements, uncorrected in kJ/mol of atoms: -39



3.
# GeRh2AuBr (PBE, relaxed)
data_GeRh2AuBr
_space_group_name_H-M_alt 'P 4/m m m'
_space_group_IT_number 123
_space_group_name_Hall '-P 4 2'
_cell_length_a 4.6959
_cell_length_b 4.6959
_cell_length_c 4.8224
_cell_angle_alpha 90.00
_cell_angle_beta 90.00
_cell_angle_gamma 90.00
loop_
_atom_site_label
_atom_site_fract_x
_atom_site_fract_y
_atom_site_fract_z
Ge1 0.0000 0.0000 0.0000
Rh1 0.0000 0.5000 0.0000
Au1 0.0000 0.0000 0.5000
Br1 0.5000 0.5000 0.5000
# Final energy in Ry/atom: -0.309
# Size of the total moment in μB per cell: 0.9
# Energy relative to the elements, uncorrected in kJ/mol of atoms: 62



4.
# CeTh2Ni (PBE, relaxed)
data_CeTh2Ni
_space_group_name_H-M_alt 'R -3 m'
_space_group_IT_number 166
_space_group_name_Hall '-R 3 2"'
_cell_length_a 3.5442
_cell_length_b 3.5442
_cell_length_c 30.5260
_cell_angle_alpha 90.00
_cell_angle_beta 90.00
_cell_angle_gamma 120.00
loop_
_atom_site_label
_atom_site_fract_x
_atom_site_fract_y
_atom_site_fract_z
Ce1 0.0000 0.0000 0.0000
Th1 0.0000 0.0000 0.1047
Ni1 0.0000 0.0000 0.5000
# Final energy in Ry/atom: -0.477
# Size of the total moment in μB per cell: 1.8
# DFT formation energy in eV/atom: 0.1543
# Energy above the lowest structure with this stoichiometry in meV/atom: 346



5.
# BeFe2Se (PBE, relaxed)
data_BeFe2Se
_space_group_name_H-M_alt 'P m m 2'
_space_group_IT_number 25
_space_group_name_Hall 'P 2 -2'
_cell_length_a 2.9646
_cell_length_b 3.2965
_cell_length_c 5.6381
_cell_angle_alpha 90.00
_cell_angle_beta 90.00
_cell_angle_gamma 90.00
loop_
_atom_site_label
_atom_site_fract_x
_atom_site_fract_y
_atom_site_fract_z
Be1 0.0000 0.0000 0.0000
Fe1 0.0000 0.0000 0.6111
Fe2 0.5000 0.5000 0.8436
Se1 0.0000 0.5000 0.2510
# Final energy in Ry/atom: -0.430
# Size of the total moment in μB per cell: 5.4
# Energy relative to the elements, uncorrected in kJ/mol of atoms: 17



6.
# TaB3Ir (PBE, relaxed)
data_TaB3Ir
_space_group_name_H-M_alt 'P m -3 m'
_space_group_IT_number 221
_space_group_name_Hall '-P 4 2 3'
_cell_length_a 4.1318
_cell_length_b 4.1318
_cell_length_c 4.1318
_cell_angle_alpha 90.00
_cell_angle_beta 90.00
_cell_angle_gamma 90.00
loop_
_atom_site_label
_atom_site_fract_x
_atom_site_fract_y
_atom_site_fract_z
Ta1 0.0000 0.0000 0.0000
B1 0.0000 0.0000 0.5000
Ir1 0.5000 0.5000 0.5000
# Final energy in Ry/atom: -0.460
# Size of the total moment in μB per cell: 0.0
# DFT formation energy in eV/atom: 1.8911
# Energy above the lowest structure with this stoichiometry in meV/atom: 2340



7.
# LaAgMo3 (PBE, relaxed)
data_LaAgMo3
_space_group_name_H-M_alt 'P m -3 m'
_space_group_IT_number 221
_space_group_name_Hall '-P 4 2 3'
_cell_length_a 4.9323
_cell_length_b 4.9323
_cell_length_c 4.9323
_cell_angle_alpha 90.00
_cell_angle_beta 90.00
_cell_angle_gamma 90.00
loop_
_atom_site_label
_atom_site_fract_x
_atom_site_fract_y
_atom_site_fract_z
La1 0.0000 0.0000 0.0000
Ag1 0.5000 0.5000 0.5000
Mo1 0.0000 0.5000 0.5000
# Final energy in Ry/atom: -0.451
# Size of the total moment in μB per cell: 0.0
# DFT formation energy in eV/atom: 1.9163
# Energy above the lowest structure with this stoichiometry in meV/atom: 0



8.
# TaHg3S (PBE, relaxed)
data_TaHg3S
_space_group_name_H-M_alt 'P m -3 m'
_space_group_IT_number 221
_space_group_name_Hall '-P 4 2 3'
_cell_length_a 5.3976
_cell_length_b 5.3976
_cell_length_c 5.3976
_cell_angle_alpha 90.00
_cell_angle_beta 90.00
_cell_angle_gamma 90.00
loop_
_atom_site_label
_atom_site_fract_x
_atom_site_fract_y
_atom_site_fract_z
Ta1 0.0000 0.0000 0.0000
Hg1 0.0000 0.0000 0.5000
S1 0.5000 0.5000 0.5000
# Final energy in Ry/atom: -0.167
# Size of the total moment in μB per cell: 0.0
# Energy relative to the elements, uncorrected in kJ/mol of atoms: 107
# Energy above the lowest structure with this stoichiometry in meV/atom: 0



9.
# OsPdF2 (PBE, relaxed)
data_OsPdF2
_space_group_name_H-M_alt 'F m -3 m'
_space_group_IT_number 225
_space_group_name_Hall '-F 4 2 3'
_cell_length_a 5.9450
_cell_length_b 5.9450
_cell_length_c 5.9450
_cell_angle_alpha 90.00
_cell_angle_beta 90.00
_cell_angle_gamma 90.00
loop_
_atom_site_label
_atom_site_fract_x
_atom_site_fract_y
_atom_site_fract_z
Os1 0.0000 0.0000 0.0000
Pd1 0.0000 0.0000 0.5000
F1 0.2500 0.2500 0.2500
# Final energy in Ry/atom: -0.339
# Size of the total moment in μB per cell: 15.1
# Energy relative to the elements, uncorrected in kJ/mol of atoms: 41
# Energy above the lowest structure with this stoichiometry in meV/atom: 961



10.
# GaHI2Cl (PBE, relaxed)
data_GaHI2Cl
_space_group_name_H-M_alt 'P 4/m m m'
_space_group_IT_number 123
_space_group_name_Hall '-P 4 2'
_cell_length_a 4.5759
_cell_length_b 4.5759
_cell_length_c 7.4987
_cell_angle_alpha 90.00
_cell_angle_beta 90.00
_cell_angle_gamma 90.00
loop_
_atom_site_label
_atom_site_fract_x
_atom_site_fract_y
_atom_site_fract_z
Ga1 0.0000 0.0000 0.0000
H1 0.0000 0.0000 0.5000
I1 0.0000 0.5000 0.5000
Cl1 0.5000 0.5000 0.0000
# Final energy in Ry/atom: -0.153
# Size of the total moment in μB per cell: 0.0



11.
# ThZr2Al6 (PBE, relaxed)
data_ThZr2Al6
_space_group_name_H-M_alt 'P 6/m m m'
_space_group_IT_number 191
_space_group_name_Hall '-P 6 2'
_cell_length_a 7.7440
_cell_length_b 7.7440
_cell_length_c 3.4404
_cell_angle_alpha 90.00
_cell_angle_beta 90.00
_cell_angle_gamma 120.00
loop_
_atom_site_label
_atom_site_fract_x
_atom_site_fract_y
_atom_site_fract_z
Th1 0.0000 0.0000 0.0000
Zr1 0.3333 0.6667 0.0000
Al1 0.0000 0.3390 0.5000
# Final energy in Ry/atom: -0.411
# Size of the total moment in μB per cell: 0.0
# DFT formation energy in eV/atom: -0.3729
# Energy above the lowest structure with this stoichiometry in meV/atom: 0



12.
# AcNd6Tm8 (PBE, relaxed)
data_AcNd6Tm8
_space_group_name_H-M_alt 'R -3'
_space_group_IT_number 148
_space_group_name_Hall '-R 3'
_cell_length_a 8.6382
_cell_length_b 8.6382
_cell_length_c 25.3459
_cell_angle_alpha 90.00
_cell_angle_beta 90.00
_cell_angle_gamma 120.00
loop_
_atom_site_label
_atom_site_fract_x
_atom_site_fract_y
_atom_site_fract_z
Ac1 0.0000 0.0000 0.0000
Nd1 0.0402 0.7677 0.6105
Tm1 0.0000 0.0000 0.2911
Tm2 0.0167 0.2449 0.1956
# Final energy in Ry/atom: -0.302
# Size of the total moment in μB per cell: 0.0
# DFT formation energy in eV/atom: 0.4531